(1)
RbGa2TeS6 | PBE | optimized geometry

Structure (extended XYZ):
```
20
Lattice="6.7361 -0.6982 -0.7245 1.4005 8.7162 -0.4376 1.4005 -0.7603 8.6940" Properties=species:S:1:pos:R:3 pbc="T T T"
S 5.2425 5.7638 -0.5267
S 4.8293 4.4916 5.7982
S 5.1264 0.4141 4.9007
Ga 2.3679 3.1318 1.5207
S 8.1974 5.2787 4.3411
S 4.7077 2.7662 1.7336
S 1.8744 -0.3909 6.1026
S 1.7584 5.2310 0.9577
S 7.7786 2.0267 6.5742
Ga 3.8011 6.2032 4.7081
Ga 7.1691 4.1259 6.0112
S 4.2945 1.4939 8.0586
S 1.3396 1.9790 3.1908
Te 6.4525 5.4997 1.6139
Rb 6.4525 -0.7566 7.6424
S 7.6626 7.6486 1.4293
Rb 3.0845 8.0143 -0.1105
Ga 5.7359 1.0545 2.8238
S 4.4106 6.8436 2.6312
Te 3.0845 1.7581 5.9180
```

## Properties
The symmetry is C2/c (15). The value obtained for the uncorrected formation energy is -0.333 eV per atom.


(2)
Pu4Bi2Rh | PBE | optimized geometry

Structure (extended XYZ):
```
14
Lattice="6.4827 0.0000 -0.7850 0.0000 6.4662 0.0000 -2.7540 0.0000 9.7784" Properties=species:S:1:pos:R:3 pbc="T T T"
Pu -1.8265 4.8497 8.6391
Pu -0.3143 4.8497 4.0344
Bi 0.4373 1.6166 4.1248
Rh 3.1699 1.6166 7.4559
Pu 2.6019 3.1622 2.1220
Bi 3.2913 4.8497 4.8685
Pu 5.5551 1.6166 0.3543
Rh 0.5588 4.8497 1.5375
Pu 2.6019 0.0709 2.1220
Bi -0.6565 1.6166 9.0314
Pu 1.1267 6.3953 6.8713
Pu 1.1267 3.3040 6.8713
Bi 4.3851 4.8497 -0.0381
Pu 4.0429 1.6166 4.9590
```

## Properties
The symmetry is P2_1/m (11). Its formation energy is -173 kJ/mol of formula units.


(3)
HPb3O | PBE | optimized geometry

Structure (extended XYZ):
```
5
Lattice="5.0132 0.0000 0.0000 0.0000 5.0132 0.0000 0.0000 0.0000 5.0132" Properties=species:S:1:pos:R:3 pbc="T T T"
Pb 2.5066 0.0000 0.0000
O 0.0000 0.0000 0.0000
Pb 0.0000 2.5066 0.0000
Pb 0.0000 0.0000 2.5066
H 2.5066 2.5066 2.5066
```

## Properties
The symmetry is Pm-3m (221).


(4)
AcAlZnGe2 | PBE | optimized geometry

Structure (extended XYZ):
```
5
Lattice="-1.9563 -3.6511 1.0788 0.8905 -1.6181 -3.8614 5.6617 0.5001 3.4685" Properties=species:S:1:pos:R:3 pbc="T T T"
Zn 3.0097 -1.8762 -0.8921
Ge 0.7094 -3.1516 -0.8881
Ge 3.8865 -1.6174 1.5740
Ac 0.0000 0.0000 0.0000
Al 1.5862 -2.8927 1.5780
```

## Properties
The symmetry is I-4m2 (119). Its formation energy is -202 kJ/mol of formula units.


(5)
CsGeF2 | PBE | optimized geometry

Structure (extended XYZ):
```
4
Lattice="-7.9078 -0.5741 1.9909 -6.8800 -4.2418 1.2244 -6.1154 -2.6974 4.7066" Properties=species:S:1:pos:R:3 pbc="T T T"
Cs -10.4516 -3.7567 3.9609
Ge 0.0000 0.0000 0.0000
F -19.0705 -6.8545 7.2273
F -1.8328 -0.6588 0.6946
```

## Properties
The symmetry is R-3m (166). The value obtained for the uncorrected formation energy is -1.807 eV per atom.


(6)
SmDy4Ho2Th | PBE | optimized geometry

Structure (extended XYZ):
```
8
Lattice="-4.2065 -2.1156 1.8003 2.7086 -3.8182 1.8420 3.8826 1.1761 10.4543" Properties=species:S:1:pos:R:3 pbc="T T T"
Ho -0.1619 -0.4698 6.1273
Ho 3.8826 1.1761 10.4543
Sm -0.7489 -2.9669 1.8211
Dy 0.9022 -3.6106 4.9229
Dy 1.4825 -1.1472 9.1736
Th 3.2956 -1.3210 6.1482
Dy 4.9401 -1.9953 9.1984
Dy -2.5553 -2.7624 4.8981
```

## Properties
The symmetry is Pmmm (47). Its formation energy is 23 kJ/mol of formula units.


(7)
NbIn2Ga | PBE | optimized geometry

Structure (extended XYZ):
```
8
Lattice="-3.9091 6.7611 -0.0852 -6.7178 -3.8722 0.9367 -5.0344 1.6413 3.2407" Properties=species:S:1:pos:R:3 pbc="T T T"
Ga -8.5328 -0.3932 2.3016
Nb -7.1284 4.9234 1.7906
In -4.4747 4.0364 0.8754
In -12.9595 3.8250 3.1595
Ga -5.3134 1.4445 0.4257
In -6.0127 -1.0491 1.3835
Nb 0.0000 0.0000 0.0000
In -7.8757 2.2481 2.7658
```

## Properties
The symmetry is I-42d (122). Its formation energy is 143 kJ/mol of formula units.


(8)
NdGa4Ir | PBE | optimized geometry

Structure (extended XYZ):
```
6
Lattice="4.6900 0.0000 0.0000 0.0000 4.6900 0.0000 0.0000 0.0000 7.2248" Properties=species:S:1:pos:R:3 pbc="T T T"
Nd 0.0000 0.0000 0.0000
Ga 0.0000 2.3450 3.6124
Ir 2.3450 2.3450 3.6124
Ga 2.3450 2.3450 6.0705
Ga 2.3450 2.3450 1.1543
Ga 2.3450 0.0000 3.6124
```

## Properties
The symmetry is P4/mmm (123). Its formation energy is -57 kJ/mol of formula units.


no.,electronic total energy (eV/atom)
1,-3.83
2,-10.61
3,-3.66
4,-4.09
5,-4.11
6,-4.93
7,-4.27
8,-4.39